{
  "formula": "LiPaN",
  "functional": "PBE-GGA",
  "state": "relaxed",
  "polymorph_energy_kcal_per_mol_atoms": 9.43,
  "raw_formation_energy_ev_per_atom": -0.497,
  "crystal_system": "tetragonal",
  "dos_at_fermi_per_ev_fu": 4.1,
  "energy_ev_per_atom": -7.075,
  "spacegroup": "I4mm, No. 107",
  "lattice_angstrom": [[3.170, 0.000, 0.000], [0.000, 3.170, 0.000], [-1.585, -1.585, 6.434]],
  "species": ["Li", "N", "Pa"],
  "frac_coords": [[0.957, 0.957, 0.914], [0.219, 0.219, 0.439], [0.674, 0.674, 0.347]]
}